No. 1
# SCAN Nb2P, single point on PBEsol structure
data_Nb2P
_cell_length_a 17.948
_cell_length_b 3.428
_cell_length_c 13.807
_cell_angle_alpha 90.00
_cell_angle_beta 90.00
_cell_angle_gamma 90.00
_symmetry_space_group_name_H-M 'P m m a'
_symmetry_Int_Tables_number 51
loop_
_symmetry_equiv_pos_as_xyz
'x,y,z'
'-x,-y,-z'
'-x+1/2,-y,z'
'x+1/2,y,-z'
'x+1/2,-y,-z'
'-x+1/2,y,z'
'-x,y,-z'
'x,-y,z'
loop_
_atom_site_label
_atom_site_type_symbol
_atom_site_fract_x
_atom_site_fract_y
_atom_site_fract_z
Nb1 Nb 0.000 0.000 0.000
Nb2 Nb 0.000 0.500 0.500
Nb3 Nb 0.001 0.000 0.338
Nb4 Nb 0.062 0.500 0.157
Nb5 Nb 0.121 0.500 0.930
Nb6 Nb 0.143 0.000 0.496
Nb7 Nb 0.162 0.000 0.739
Nb8 Nb 0.165 0.000 0.260
Nb9 Nb 0.250 0.000 0.939
Nb10 Nb 0.250 0.500 0.114
Nb11 Nb 0.250 0.500 0.383
Nb12 Nb 0.250 0.500 0.611
P1 P 0.045 0.000 0.829
P2 P 0.104 0.500 0.364
P3 P 0.104 0.500 0.628
P4 P 0.144 0.000 0.068
P5 P 0.250 0.500 0.810
# ΔE_f: -889 meV/atom
# DFT total energy: -26.4417 eV per atom
# total magnetic moment: 0.000 μB per formula unit


No. 2
# SCAN ReAgP2, single point on PBEsol structure
data_ReAgP2
_cell_length_a 3.0238
_cell_length_b 3.0238
_cell_length_c 22.8428
_cell_angle_alpha 90.00
_cell_angle_beta 90.00
_cell_angle_gamma 120.00
_symmetry_space_group_name_H-M 'R -3 m'
_symmetry_Int_Tables_number 166
_symmetry_space_group_name_Hall '-R 3 2"'
loop_
_atom_site_label
_atom_site_type_symbol
_atom_site_fract_x
_atom_site_fract_y
_atom_site_fract_z
Re1 Re 0.0000 0.0000 0.0000
Ag1 Ag 0.0000 0.0000 0.5000
P1 P 0.0000 0.0000 0.2598
# ΔE_f: 60 meV/atom
# DFT total energy: -30.7556 eV per atom
# total magnetic moment: 0.000 μB per formula unit
# distance to the lowest polymorph of the same formula: 0 meV per atom


No. 3
# SCAN LiNbRu2, single point on PBEsol structure
data_LiNbRu2
_cell_length_a 6.057
_cell_length_b 6.057
_cell_length_c 6.057
_cell_angle_alpha 90.00
_cell_angle_beta 90.00
_cell_angle_gamma 90.00
_symmetry_space_group_name_H-M 'F m -3 m'
_symmetry_Int_Tables_number 225
_symmetry_space_group_name_Hall '-F 4 2 3'
loop_
_atom_site_label
_atom_site_type_symbol
_atom_site_fract_x
_atom_site_fract_y
_atom_site_fract_z
Li1 Li 0.000 0.000 0.000
Nb1 Nb 0.000 0.000 0.500
Ru1 Ru 0.250 0.250 0.250
# ΔE_f: -140 meV/atom
# DFT total energy: -26.4332 eV per atom
# total magnetic moment: 0.000 μB per formula unit


No. 4
# SCAN Hf3CoH, single point on PBEsol structure
data_Hf3CoH
_cell_length_a 4.214
_cell_length_b 4.214
_cell_length_c 4.214
_cell_angle_alpha 90.00
_cell_angle_beta 90.00
_cell_angle_gamma 90.00
_symmetry_space_group_name_H-M 'P m -3 m'
_symmetry_Int_Tables_number 221
_symmetry_space_group_name_Hall '-P 4 2 3'
loop_
_atom_site_label
_atom_site_type_symbol
_atom_site_fract_x
_atom_site_fract_y
_atom_site_fract_z
Hf1 Hf 0.000 0.000 0.500
Co1 Co 0.500 0.500 0.500
H1 H 0.000 0.000 0.000
# DFT total energy: -41.7223 eV per atom
# total magnetic moment: 1.624 μB per formula unit
# distance to the lowest polymorph of the same formula: 0 meV per atom


No. 5
# SCAN CaMg2Re, single point on PBEsol structure
data_CaMg2Re
_cell_length_a 4.433
_cell_length_b 4.433
_cell_length_c 4.045
_cell_angle_alpha 90.00
_cell_angle_beta 90.00
_cell_angle_gamma 90.00
_symmetry_space_group_name_H-M 'P 4/m m m'
_symmetry_Int_Tables_number 123
_symmetry_space_group_name_Hall '-P 4 2'
loop_
_atom_site_label
_atom_site_type_symbol
_atom_site_fract_x
_atom_site_fract_y
_atom_site_fract_z
Ca1 Ca 0.000 0.000 0.000
Mg1 Mg 0.000 0.500 0.500
Re1 Re 0.500 0.500 0.000
# ΔE_f: 624 meV/atom
# DFT total energy: -22.0532 eV per atom
# total magnetic moment: 0.000 μB per formula unit
# distance to the lowest polymorph of the same formula: 89 meV per atom


No. 6
# SCAN Tc2HgCl, single point on PBEsol structure
data_Tc2HgCl
_cell_length_a 6.291
_cell_length_b 6.291
_cell_length_c 6.291
_cell_angle_alpha 90.00
_cell_angle_beta 90.00
_cell_angle_gamma 90.00
_symmetry_space_group_name_H-M 'F m -3 m'
_symmetry_Int_Tables_number 225
_symmetry_space_group_name_Hall '-F 4 2 3'
loop_
_atom_site_label
_atom_site_type_symbol
_atom_site_fract_x
_atom_site_fract_y
_atom_site_fract_z
Tc1 Tc 0.250 0.250 0.250
Hg1 Hg 0.000 0.000 0.000
Cl1 Cl 0.000 0.000 0.500
# raw formation energy: 1202 meV per atom
# DFT total energy: -35.3640 eV per atom
# total magnetic moment: 0.000 μB per formula unit
# distance to the lowest polymorph of the same formula: 449 meV per atom


No. 7
# SCAN RbMn2Ge2, single point on PBEsol structure
data_RbMn2Ge2
_cell_length_a 4.010
_cell_length_b 4.010
_cell_length_c 13.642
_cell_angle_alpha 90.00
_cell_angle_beta 90.00
_cell_angle_gamma 90.00
_symmetry_space_group_name_H-M 'I 4/m m m'
_symmetry_Int_Tables_number 139
_symmetry_space_group_name_Hall '-I 4 2'
loop_
_atom_site_label
_atom_site_type_symbol
_atom_site_fract_x
_atom_site_fract_y
_atom_site_fract_z
Rb1 Rb 0.000 0.000 0.000
Mn1 Mn 0.000 0.500 0.250
Ge1 Ge 0.000 0.000 0.345
# ΔE_f: -112 meV/atom
# DFT total energy: -19.1969 eV per atom
# total magnetic moment: 5.253 μB per formula unit


No. 8
# SCAN Zn2CoAs, single point on PBEsol structure
data_Zn2CoAs
_cell_length_a 3.346
_cell_length_b 3.346
_cell_length_c 4.848
_cell_angle_alpha 90.00
_cell_angle_beta 90.00
_cell_angle_gamma 90.00
_symmetry_space_group_name_H-M 'P 4/m m m'
_symmetry_Int_Tables_number 123
_symmetry_space_group_name_Hall '-P 4 2'
loop_
_atom_site_label
_atom_site_type_symbol
_atom_site_fract_x
_atom_site_fract_y
_atom_site_fract_z
Zn1 Zn 0.000 0.000 0.240
Co1 Co 0.500 0.500 0.000
As1 As 0.500 0.500 0.500
# ΔE_f: 71 meV/atom
# DFT total energy: -16.0598 eV per atom
# total magnetic moment: 1.463 μB per formula unit


No. 9
# SCAN CuHgPt, single point on PBEsol structure
data_CuHgPt
_cell_length_a 5.911
_cell_length_b 5.911
_cell_length_c 5.911
_cell_angle_alpha 90.00
_cell_angle_beta 90.00
_cell_angle_gamma 90.00
_symmetry_space_group_name_H-M 'F -4 3 m'
_symmetry_Int_Tables_number 216
_symmetry_space_group_name_Hall 'F -4 2 3'
loop_
_atom_site_label
_atom_site_type_symbol
_atom_site_fract_x
_atom_site_fract_y
_atom_site_fract_z
Cu1 Cu 0.000 0.000 0.000
Hg1 Hg 0.250 0.250 0.250
Pt1 Pt 0.250 0.250 0.750
# ΔE_f: 166 meV/atom
# DFT total energy: -51.0202 eV per atom
# total magnetic moment: 0.000 μB per formula unit


No. 10
# SCAN In2Hg2I, single point on PBEsol structure
data_In2Hg2I
_cell_length_a 8.646
_cell_length_b 8.646
_cell_length_c 3.749
_cell_angle_alpha 90.00
_cell_angle_beta 90.00
_cell_angle_gamma 90.00
_symmetry_space_group_name_H-M 'P 4/m b m'
_symmetry_Int_Tables_number 127
_symmetry_space_group_name_Hall '-P 4 2ab'
loop_
_atom_site_label
_atom_site_type_symbol
_atom_site_fract_x
_atom_site_fract_y
_atom_site_fract_z
In1 In 0.170 0.330 0.000
Hg1 Hg 0.131 0.631 0.500
I1 I 0.000 0.000 0.000
# raw formation energy: -93 meV per atom
# DFT total energy: -48.0618 eV per atom
# total magnetic moment: 0.000 μB per formula unit


No. 11
# SCAN MgAl2As, single point on PBEsol structure
data_MgAl2As
_cell_length_a 3.510
_cell_length_b 3.510
_cell_length_c 5.884
_cell_angle_alpha 90.00
_cell_angle_beta 90.00
_cell_angle_gamma 90.00
_symmetry_space_group_name_H-M 'P 4/m m m'
_symmetry_Int_Tables_number 123
_symmetry_space_group_name_Hall '-P 4 2'
loop_
_atom_site_label
_atom_site_type_symbol
_atom_site_fract_x
_atom_site_fract_y
_atom_site_fract_z
Mg1 Mg 0.000 0.000 0.000
Al1 Al 0.500 0.500 0.269
As1 As 0.000 0.000 0.500
# ΔE_f: 38 meV/atom
# DFT total energy: -10.1285 eV per atom
# total magnetic moment: 0.000 μB per formula unit
# distance to the lowest polymorph of the same formula: 8 meV per atom


No. 12
# SCAN Y2TaOs, single point on PBEsol structure
data_Y2TaOs
_cell_length_a 3.113
_cell_length_b 4.699
_cell_length_c 5.718
_cell_angle_alpha 90.00
_cell_angle_beta 104.39
_cell_angle_gamma 90.00
_symmetry_space_group_name_H-M 'P 1 2/m 1'
_symmetry_Int_Tables_number 10
loop_
_symmetry_equiv_pos_as_xyz
'x,y,z'
'-x,-y,-z'
'-x,y,-z'
'x,-y,z'
loop_
_atom_site_label
_atom_site_type_symbol
_atom_site_fract_x
_atom_site_fract_y
_atom_site_fract_z
Y1 Y 0.083 0.000 0.261
Ta1 Ta 0.500 0.500 0.000
Os1 Os 0.500 0.500 0.500
# ΔE_f: 320 meV/atom
# DFT total energy: -48.2174 eV per atom
# total magnetic moment: 0.000 μB per formula unit
# distance to the lowest polymorph of the same formula: 0 meV per atom